# 1
Density functional theory data (PBE with a Hubbard U) for a relaxed structure of VCr2CO.

It has space group P4/mmm (No. 123), with a = 3.955 Å, b = 3.955 Å, c = 4.622 Å, α = 90.00°, β = 90.00° and γ = 90.00°. Symmetry generates all atoms from V at (0.000, 0.000, 0.000), Cr at (0.000, 0.500, 0.500), C at (0.500, 0.500, 0.500) and O at (0.500, 0.500, 0.000).

The value obtained for the density of states at the Fermi level is 0.87 states/eV/f.u. The value obtained for the total energy is -6.438 eV/atom. The value obtained for the magnetization is 0.9823 μB per atom.



# 2
Density functional theory data (PBE with a Hubbard U) for a relaxed structure of Y2CrCO.

It has space group P4/mmm (No. 123), with a = 4.666 Å, b = 4.666 Å, c = 4.071 Å, α = 90.00°, β = 90.00° and γ = 90.00°. Symmetry generates all atoms from Y at (0.000, 0.500, 0.000), Cr at (0.000, 0.000, 0.500), C at (0.500, 0.500, 0.500) and O at (0.500, 0.500, 0.000).

The value obtained for the density of states at the Fermi level is 3.07 states/eV/f.u. The value obtained for the total energy is -6.866 eV/atom. The value obtained for the magnetization is 0.9793 μB per atom.



> Which of these has the highest magnetization?

VCr2CO